[1]
VASP calculation (PBE-GGA) on a geometry-optimized La6AsSe2Cl3 structure.

a b c (Å): 7.415 7.415 7.244
angles (deg): 99.79 99.79 119.68
Element x y z (fractional)
La 0.918 0.587 0.753
La 0.751 0.751 0.247
La 0.082 0.413 0.247
La 0.587 0.918 0.753
La 0.249 0.249 0.753
La 0.413 0.082 0.247
As 0.000 0.000 0.000
Se 0.333 0.667 0.000
Se 0.667 0.333 0.000
Cl 0.166 0.834 0.500
Cl 0.834 0.166 0.500
Cl 0.500 0.500 0.500

Calculated values
The calculation puts the total magnetization at 0.0 μB per formula unit. As for the space group: C2/m (12). For the energy relative to the elements, uncorrected, the calculation gives -20.87 eV per formula unit.



[2]
VASP calculation (PBE-GGA) on a geometry-optimized SrCdCo2 structure.

a b c (Å): 4.574 4.571 3.606
angles (deg): 90.00 90.00 90.00
Element x y z (fractional)
Cd 0.000 0.500 0.500
Co 0.000 0.000 0.000
Co 0.500 0.500 0.000
Sr 0.500 0.000 0.500

Calculated values
The calculation puts the total magnetization at 1.8 μB per formula unit. The formation energy is 0.651 eV/atom. As for the space group: P4/mmm (123).



[3]
VASP calculation (PBE-GGA) on a geometry-optimized NaTc2Br8 structure.

a b c (Å): 6.470 9.798 7.977
angles (deg): 131.95 88.42 109.04
Element x y z (fractional)
Na 0.000 0.000 0.000
Tc 0.231 0.491 0.873
Tc 0.769 0.509 0.127
Br 0.186 0.732 0.293
Br 0.814 0.268 0.707
Br 0.675 0.701 0.044
Br 0.287 0.252 0.473
Br 0.215 0.710 0.822
Br 0.325 0.299 0.956
Br 0.713 0.748 0.527
Br 0.785 0.290 0.178

Calculated values
The calculation puts the total magnetization at 5.0 μB per formula unit. As for the space group: P-1 (2). For the energy relative to the elements, uncorrected, the calculation gives -5.87 eV per formula unit.



[4]
VASP calculation (PBE-GGA) on a geometry-optimized InC3 structure.

a b c (Å): 4.471 4.471 4.471
angles (deg): 90.00 90.00 90.00
Element x y z (fractional)
In 0.000 0.000 0.000
In 0.500 0.500 0.500
C 0.750 0.500 0.000
C 0.250 0.500 0.000
C 0.000 0.750 0.500
C 0.000 0.250 0.500
C 0.500 0.000 0.250
C 0.500 0.000 0.750

Calculated values
The calculation puts the total magnetization at 0.0 μB per formula unit. The formation energy is 3.347 eV/atom. As for the space group: Pm-3n (223).



[5]
VASP calculation (PBE-GGA) on a geometry-optimized La2DyEr4Sc structure.

a b c (Å): 9.420 9.420 11.763
angles (deg): 128.63 128.63 87.97
Element x y z (fractional)
La 0.500 0.000 0.000
La 0.500 0.000 0.500
La 0.000 0.000 0.500
La 0.500 0.500 0.000
Dy 0.000 0.500 0.000
Dy 0.000 0.500 0.500
Er 0.234 0.762 0.998
Er 0.738 0.266 0.502
Er 0.262 0.734 0.498
Er 0.766 0.238 0.002
Er 0.751 0.749 0.982
Er 0.751 0.749 0.518
Er 0.249 0.251 0.482
Er 0.249 0.251 0.018
Sc 0.500 0.500 0.500
Sc 0.000 0.000 0.000

Calculated values
The calculation puts the total magnetization at 1.0 μB per formula unit. The formation energy is 0.413 eV/atom. As for the space group: Imma (74).



[6]
VASP calculation (PBE-GGA) on a geometry-optimized TmZnGaCu structure.

a b c (Å): 4.580 4.580 4.580
angles (deg): 60.00 60.00 60.00
Element x y z (fractional)
Zn 0.750 0.750 0.750
Tm 0.000 0.000 0.000
Cu 0.250 0.250 0.250
Ga 0.500 0.500 0.500

Calculated values
The calculation puts the total magnetization at 0.0 μB per formula unit. The formation energy is -0.311 eV/atom. As for the space group: F-43m (216).



[7]
VASP calculation (PBE-GGA) on a geometry-optimized BaNa2CaHg structure.

a b c (Å): 5.953 5.953 6.010
angles (deg): 90.00 90.00 90.00
Element x y z (fractional)
Na 0.000 0.500 0.000
Na 0.500 0.000 0.000
Ca 0.000 0.000 0.500
Hg 0.000 0.000 0.000
Ba 0.500 0.500 0.500

Calculated values
The calculation puts the total magnetization at 0.0 μB per formula unit. The formation energy is -0.058 eV/atom. As for the space group: P4/mmm (123).



[8]
VASP calculation (PBE-GGA) on a geometry-optimized SiHgSe4 structure.

a b c (Å): 5.772 5.772 5.772
angles (deg): 60.00 60.00 60.00
Element x y z (fractional)
Si 0.750 0.750 0.750
Hg 0.000 0.000 0.000
Se 0.873 0.376 0.376
Se 0.376 0.376 0.873
Se 0.376 0.873 0.376
Se 0.376 0.376 0.376

Calculated values
The calculation puts the total magnetization at 0.0 μB per formula unit. As for the space group: F-43m (216). For the energy relative to the elements, uncorrected, the calculation gives 3.93 eV per formula unit.